Al2OsPt | GGA-PBEsol | relaxed

Calculated values
M_tot: 0.00 Bohr magnetons per cell
energy of formation: -74.86 kJ per mole of atoms
total energy: -7.616 eV per atom

Cell: 4.1832 4.1832 3.1117 Å, 90.00 90.00 90.00°
Last column: nearest neighbours and their distance in Å.
Space group P4/mmm (No. 123)
Symmetry-distinct sites (fractional):
Al1 0.0000 0.5000 0.0000 (multiplicity 2)  4 Os 2.61, 4 Pt 2.61
Os1 0.0000 0.0000 0.5000 (multiplicity 1)  8 Al 2.61
Pt1 0.5000 0.5000 0.5000 (multiplicity 1)  8 Al 2.61